Here is a geometry-optimized NiSeO2 structure from the Alexandria database. Energies are from PBE+U.

Unit cell a=4.2016 b=4.2016 c=6.7083 alpha=71.75 beta=71.75 gamma=90.00
Closest atoms and distances in Å follow each position.
Fractional positions:
Ni 0.2500 0.7500 0.5000  4 O 2.09
Ni 0.5000 0.5000 0.0000  4 O 2.09
Se 0.7500 0.2500 0.5000  4 O 2.14
Se 0.0000 0.0000 0.0000  4 O 2.14
O 0.3750 0.3881 0.7500  2 Ni 2.09, 2 Se 2.14
O 0.1381 0.6250 0.2500  2 Ni 2.09, 2 Se 2.14
O 0.6119 0.1250 0.2500  2 Ni 2.09, 2 Se 2.14
O 0.8750 0.8619 0.7500  2 Ni 2.09, 2 Se 2.14

## Properties
Raw total energy, eV per atom: -4.021
SG: I-42d
Volume, Å³ per atom: 13.27
DOS at the Fermi energy, states/eV per atom: 0.51